1.
## RbMn2Au (PBE-GGA)

Data for a relaxed RbMn2Au crystal.

Results
**Relative energy among the computed polymorphs**: 0.211 eV per atom
**Electronic total energy**: -4.76 eV per atom
**E_form**: 0.89 eV per atom

a = 7.0887 Å, b = 7.0887 Å, c = 7.0887 Å
α = 90.00°, β = 90.00°, γ = 90.00°
Space group Fm-3m (No. 225)
Symmetry-distinct sites (fractional):
Rb1 0.0000 0.0000 0.0000 (multiplicity 4)
Mn1 0.2500 0.2500 0.2500 (multiplicity 8)
Au1 0.0000 0.0000 0.5000 (multiplicity 4)

=====

2.
## Na2AcThSe4 (PBE-GGA)

Data for a relaxed Na2AcThSe4 crystal.

Results
**Electronic total energy**: -5.09 eV per atom
**Energy relative to the elements, uncorrected**: -1.577 eV per atom

a = 7.5160 Å, b = 4.3237 Å, c = 7.5515 Å
α = 90.00°, β = 109.33°, γ = 90.00°
Space group P2/m (No. 10)
Symmetry-distinct sites (fractional):
Na1 0.0000 0.0000 0.0000 (multiplicity 1)
Na2 0.0000 0.5000 0.5000 (multiplicity 1)
Ac1 0.5000 0.0000 0.5000 (multiplicity 1)
Th1 0.5000 0.5000 0.0000 (multiplicity 1)
Se1 0.2521 0.5000 0.2350 (multiplicity 2)
Se2 0.2587 0.0000 0.7658 (multiplicity 2)

=====

3.
## LaInN2 (PBE-GGA)

Data for a relaxed LaInN2 crystal.

Results
**Electronic total energy**: -5.70 eV per atom
**Energy relative to the elements, uncorrected**: 0.379 eV per atom

a = 3.6200 Å, b = 3.6200 Å, c = 19.5394 Å
α = 90.00°, β = 90.00°, γ = 120.00°
Space group R-3m (No. 166, hexagonal axes)
Symmetry-distinct sites (fractional):
La1 0.0000 0.0000 0.0000 (multiplicity 3)
In1 0.0000 0.0000 0.5000 (multiplicity 3)
N1 0.0000 0.0000 0.1111 (multiplicity 6)

=====

4.
## ZrCoP (PBE-GGA)

Data for a relaxed ZrCoP crystal.

Results
**Electronic total energy**: -8.17 eV per atom
**E_form**: -1.15 eV per atom

a = 6.3466 Å, b = 3.6997 Å, c = 7.1710 Å
α = 90.00°, β = 90.00°, γ = 90.00°
Space group Pnma (No. 62)
Symmetry-distinct sites (fractional):
Zr1 0.0190 0.2500 0.1831 (multiplicity 4)
Co1 0.1381 0.2500 0.5606 (multiplicity 4)
P1 0.2246 0.7500 0.3870 (multiplicity 4)